No. 1
DFT (SCAN) results for BeAs2Cl at its PBEsol-relaxed geometry.

extended XYZ file:
```
4
Lattice="-0.4962 -2.3885 -1.8381 1.9140 1.7583 -1.6046 5.7562 -3.5153 3.0140" Properties=species:S:1:pos:R:3 pbc="T T T"
Be 3.5870 -2.0727 -0.2143
As 1.7748 -1.0839 0.9293
As 3.9814 -2.4314 2.0847
Cl 0.7089 -0.3151 -1.7213
```

Output
Energy above the lowest structure with this stoichiometry: 0.151 eV per atom
Formation energy from raw total energies: 73 kJ/mol of formula units
DOS at the Fermi energy: 2.509 states/eV per cell

***

No. 2
DFT (SCAN) results for BeAs2Cl at its PBEsol-relaxed geometry.

extended XYZ file:
```
4
Lattice="4.4478 0.0000 0.0000 -2.2239 3.9892 0.0356 0.0000 2.4464 3.7145" Properties=species:S:1:pos:R:3 pbc="T T T"
Be 2.2239 1.2232 1.8573
As 0.0000 2.6062 0.9464
As 2.2239 3.8294 2.8037
Cl 0.0000 0.0000 0.0000
```

Output
Energy above the lowest structure with this stoichiometry: 0.665 eV per atom
Formation energy from raw total energies: 271 kJ/mol of formula units
DOS at the Fermi energy: 1.642 states/eV per cell

***

No. 3
DFT (SCAN) results for BeAs2Cl at its PBEsol-relaxed geometry.

extended XYZ file:
```
4
Lattice="-1.7381 -2.7408 1.4559 -1.9184 -2.1819 -2.0523 3.9297 -5.3613 -1.0561" Properties=species:S:1:pos:R:3 pbc="T T T"
Be 0.1366 -5.1420 -0.8263
As 0.4776 -2.8668 -0.4813
As -0.2045 -7.4172 -1.1712
Cl 0.0000 0.0000 0.0000
```

Output
Energy above the lowest structure with this stoichiometry: 0.000 eV per atom
Formation energy from raw total energies: 14 kJ/mol of formula units
DOS at the Fermi energy: 1.362 states/eV per cell

***

No. 4
DFT (SCAN) results for BeAs2Cl at its PBEsol-relaxed geometry.

extended XYZ file:
```
4
Lattice="2.7438 0.0000 0.0000 0.0000 3.3266 0.0000 0.0000 0.0000 7.5697" Properties=species:S:1:pos:R:3 pbc="T T T"
Be 1.3719 1.6633 3.7849
As 0.0000 0.0000 5.1013
As 0.0000 0.0000 2.4684
Cl 1.3719 1.6633 0.0000
```

Output
Energy above the lowest structure with this stoichiometry: 0.108 eV per atom
Formation energy from raw total energies: 56 kJ/mol of formula units
DOS at the Fermi energy: 1.361 states/eV per cell

***

No. 5
DFT (SCAN) results for Li4Be3As3ClO12 at its PBEsol-relaxed geometry.

extended XYZ file:
```
46
Lattice="-0.2191 4.1561 7.1215 -3.8789 -6.3385 3.5799 7.2763 -3.2538 2.1228" Properties=species:S:1:pos:R:3 pbc="T T T"
As -1.9942 -2.1302 3.5703
As -2.1037 -0.0521 7.1311
As 2.6684 -3.2115 1.9563
As 0.7290 -6.3808 3.7463
As 1.7095 1.2646 4.0915
As 5.3477 -0.3623 5.1528
Be 3.5834 -0.5879 2.8418
Be 3.4738 1.4902 6.4025
Be -1.0792 0.4934 4.4557
Be -3.0187 -2.6758 6.2457
Be -0.1204 -3.9827 2.3206
Be 3.5178 -5.6096 3.3820
Cl 0.0000 0.0000 0.0000
Cl 1.5892 -2.7181 6.4121
Li 0.5396 -0.9229 2.1772
Li -2.1669 -2.3643 9.2450
Li 5.2006 -0.3270 8.2827
Li 2.7834 -7.2583 5.9435
Li 2.1288 -3.6410 8.5892
Li 3.5202 -2.9000 4.9557
Li 0.9752 -0.3840 6.6530
Li -0.2674 -3.9474 5.4504
O -0.5602 -2.4594 2.7040
O -1.4702 -0.6475 8.6006
O 4.4885 -1.7514 9.4281
O 3.8987 -6.0141 4.9157
O 2.3816 -1.5751 2.3498
O 0.9536 -6.8364 5.3764
O -0.6099 -3.2321 10.0640
O 3.6315 0.7711 7.8582
O 0.3399 0.3378 3.6667
O 5.6151 -1.2366 6.5948
O 2.8808 -6.5776 7.7807
O -2.4791 -3.3961 7.6062
O 2.0125 -2.3572 10.0679
O 3.2334 -4.0036 3.3595
O 0.9892 0.2736 8.5010
O 0.1217 -4.7853 3.7200
O 3.9434 -4.3716 8.7354
O -1.8672 -2.8656 5.1060
O 5.1045 -3.6894 5.8011
O -0.8240 0.0542 6.0058
O 0.9729 -5.1221 9.1534
O 2.1432 0.8669 5.6942
O -0.9235 -5.4272 6.5585
O 4.1641 -1.1900 4.2422
```

Output
Formation energy from raw total energies: -4786 kJ/mol of formula units
DOS at the Fermi energy: 0.000 states/eV per cell

***

No. 6
DFT (SCAN) results for BeCoAs2 at its PBEsol-relaxed geometry.

extended XYZ file:
```
4
Lattice="-3.1008 -1.3587 -1.1424 -0.3402 -1.8019 3.0665 -0.2888 4.7750 0.6922" Properties=species:S:1:pos:R:3 pbc="T T T"
Be -1.7205 -1.5803 0.9621
As 0.0000 0.0000 0.0000
As -2.5551 0.9180 0.2560
Co -1.1748 0.6964 2.3604
```

Output
ΔE_f: 0.39 eV per atom
DOS at the Fermi energy: 1.762 states/eV per cell

***

No. 7
DFT (SCAN) results for NaBeCo2As at its PBEsol-relaxed geometry.

extended XYZ file:
```
5
Lattice="4.2902 0.0000 0.0000 0.0000 4.2902 0.0000 0.0000 0.0000 4.6646" Properties=species:S:1:pos:R:3 pbc="T T T"
Na 0.0000 0.0000 0.0000
As 0.0000 0.0000 2.3323
Co 0.0000 2.1451 0.0000
Co 2.1451 0.0000 0.0000
Be 2.1451 2.1451 2.3323
```

Output
ΔE_f: 1.96 eV per atom
DOS at the Fermi energy: 2.705 states/eV per cell

***

No. 8
DFT (SCAN) results for BeCo2SbAs at its PBEsol-relaxed geometry.

extended XYZ file:
```
5
Lattice="-2.2185 0.8562 -3.3671 -1.0163 -3.9802 -0.3425 -3.5048 0.6812 2.4824" Properties=species:S:1:pos:R:3 pbc="T T T"
Sb -1.7524 0.3406 1.2412
As -3.3698 -1.2214 -0.6136
Co -0.5081 -1.9901 -0.1713
Co -1.1092 0.4281 -1.6836
Be 0.0000 0.0000 0.0000
```

Output
Formation energy from raw total energies: 398 kJ/mol of formula units
DOS at the Fermi energy: 3.188 states/eV per cell

***

No. 9
DFT (SCAN) results for Be2CrAs at its PBEsol-relaxed geometry.

extended XYZ file:
```
4
Lattice="3.9891 0.0000 0.0000 1.9946 3.4547 0.0000 1.9946 1.1516 3.2571" Properties=species:S:1:pos:R:3 pbc="T T T"
Cr 1.9946 1.1516 0.8143
As 3.9891 2.3031 1.6286
Be 0.0000 0.0000 0.0000
Be 5.9837 3.4547 2.4428
```

Output
ΔE_f: 0.33 eV per atom
DOS at the Fermi energy: 1.565 states/eV per cell

***

No. 10
DFT (SCAN) results for BeCrAs2 at its PBEsol-relaxed geometry.

extended XYZ file:
```
4
Lattice="-2.6032 -1.6404 -1.0600 -0.2867 -1.9516 3.7242 -2.4142 3.3844 0.6915" Properties=species:S:1:pos:R:3 pbc="T T T"
Cr -2.6520 -0.1038 1.6778
As -0.1433 -0.9758 1.8621
As -1.2071 1.6922 0.3457
Be -1.3016 -0.8202 -0.5300
```

Output
ΔE_f: 0.17 eV per atom
DOS at the Fermi energy: 1.639 states/eV per cell

***

No. 11
DFT (SCAN) results for BeCrAs2 at its PBEsol-relaxed geometry.

extended XYZ file:
```
4
Lattice="3.3383 0.0000 0.0000 0.0000 4.4530 0.0000 -1.6691 -2.2265 3.5198" Properties=species:S:1:pos:R:3 pbc="T T T"
Cr 1.6691 0.0000 0.0000
As 1.6691 2.2265 1.5793
As 0.0000 0.0000 1.9405
Be 0.0000 2.2265 0.0000
```

Output
ΔE_f: 0.22 eV per atom
DOS at the Fermi energy: 2.037 states/eV per cell

***

No. 12
DFT (SCAN) results for BeCrAs2 at its PBEsol-relaxed geometry.

extended XYZ file:
```
4
Lattice="-0.5763 2.8619 -0.9016 -2.9442 -0.3818 0.6701 2.0725 2.0156 5.0731" Properties=species:S:1:pos:R:3 pbc="T T T"
Cr -1.7603 1.2401 -0.1157
As -1.1245 1.1848 4.4796
As 0.2528 0.4490 1.2637
Be -0.7240 2.2478 2.4208
```

Output
ΔE_f: 0.20 eV per atom
DOS at the Fermi energy: 1.274 states/eV per cell

***

Repeat the tenth record exactly.
DFT (SCAN) results for BeCrAs2 at its PBEsol-relaxed geometry.

extended XYZ file:
```
4
Lattice="-2.6032 -1.6404 -1.0600 -0.2867 -1.9516 3.7242 -2.4142 3.3844 0.6915" Properties=species:S:1:pos:R:3 pbc="T T T"
Cr -2.6520 -0.1038 1.6778
As -0.1433 -0.9758 1.8621
As -1.2071 1.6922 0.3457
Be -1.3016 -0.8202 -0.5300
```

Output
ΔE_f: 0.17 eV per atom
DOS at the Fermi energy: 1.639 states/eV per cell